## TbTmTeO2 (PBE-GGA)

Data for a relaxed structure of TbTmTeO2.

Results
Its space group is P3m1, No. 156. The calculated total energy is -36.60 eV per cell. The energy relative to the lowest polymorph listed for this composition comes out at 0.42 eV/f.u.

Unit cell a=3.8672 b=3.8672 c=7.1462 alpha=90.00 beta=90.00 gamma=120.00
Last column: nearest neighbours and their distance in Å.
Atoms (fractional coordinates):
Tb1 0.0000 0.0000 0.0000  4 O 2.29-2.30
Tm1 0.3333 0.6667 0.6098  4 O 2.22-2.29
Te1 0.6667 0.3333 0.3081  3 Tm 3.10, 3 Tb 3.14, 3 O 3.47
O1 0.0000 0.0000 0.6801  1 Tb 2.29, 3 Tm 2.29
O2 0.3333 0.6667 0.9209  1 Tm 2.22, 3 Tb 2.30